(1)
# HfAsOsAu

Crystalline HfAsOsAu at its relaxed geometry (PBE-GGA, the Open Quantum Materials Database).

The value obtained for the excess energy over the best structure of this formula in the dataset is 0.0 meV/atom. As for the space group: No. 216. As for the crystal system: cubic.

a b c (Å): 4.5750 4.5750 4.5750
angles (deg): 60.00 60.00 60.00
Closest atoms and distances in Å follow each position.
Positions (direct):
Hf 0.5000 0.5000 0.5000  4 Au 2.80, 4 As 2.80
Au 0.7500 0.7500 0.7500  4 Hf 2.80, 4 Os 2.80
As 0.2500 0.2500 0.2500  4 Hf 2.80, 4 Os 2.80
Os 0.0000 0.0000 0.0000  4 Au 2.80, 4 As 2.80

---

(2)
# HgAs2Au

Crystalline HgAs2Au at its relaxed geometry (PBE-GGA, the Open Quantum Materials Database).

As for the space group: No. 216. As for the crystal system: cubic.

a b c (Å): 4.8534 4.8534 4.8534
angles (deg): 60.00 60.00 60.00
Closest atoms and distances in Å follow each position.
Positions (direct):
Au 0.5000 0.5000 0.5000  4 Hg 2.97, 4 As 2.97
As 0.7500 0.7500 0.7500  4 Au 2.97, 4 As 2.97
As 0.0000 0.0000 0.0000  4 Hg 2.97, 4 As 2.97
Hg 0.2500 0.2500 0.2500  4 As 2.97, 4 Au 2.97

---

The records above give, respectively, VASP energy values of -29.22, -11.36 eV per cell.